# YTm5Bi6, relaxed, DFT GGA-PBE
# * VASP energy: -5.143 eV/atom
# * calculated formation energy: -0.8011 eV/atom
data_YTm5Bi6
_chemical_formula_sum 'Y1 Tm5 Bi6'
_space_group_name_H-M_alt 'P 1'
_space_group_IT_number 1
_space_group_name_Hall 'P 1'
_cell_length_a 7.694
_cell_length_b 7.696
_cell_length_c 7.695
_cell_angle_alpha 60.00
_cell_angle_beta 80.41
_cell_angle_gamma 70.53
loop_
_atom_site_label
_atom_site_type_symbol
_atom_site_fract_x
_atom_site_fract_y
_atom_site_fract_z
Tm1 Tm 0.000 0.333 0.334
Tm2 Tm 0.500 0.165 0.669
Tm3 Tm 0.000 0.667 0.666
Tm4 Tm 0.500 0.500 0.000
Tm5 Tm 0.500 0.835 0.331
Bi1 Bi 0.250 0.252 0.000
Bi2 Bi 0.750 0.748 0.000
Bi3 Bi 0.748 0.420 0.664
Bi4 Bi 0.252 0.580 0.336
Bi5 Bi 0.748 0.084 0.336
Bi6 Bi 0.252 0.916 0.664
Y1 Y 0.000 0.000 0.000

---

# Y3Tm2Bi2, relaxed, DFT GGA-PBE
# * VASP energy: -5.613 eV/atom
# * calculated formation energy: -0.4564 eV/atom
data_Y3Tm2Bi2
_chemical_formula_sum 'Y3 Tm2 Bi2'
_space_group_name_H-M_alt 'P 1'
_space_group_IT_number 1
_space_group_name_Hall 'P 1'
_cell_length_a 4.302
_cell_length_b 6.468
_cell_length_c 8.524
_cell_angle_alpha 106.43
_cell_angle_beta 90.00
_cell_angle_gamma 109.42
loop_
_atom_site_label
_atom_site_type_symbol
_atom_site_fract_x
_atom_site_fract_y
_atom_site_fract_z
Y1 Y 0.500 0.000 0.000
Y2 Y 0.626 0.251 0.445
Y3 Y 0.374 0.749 0.555
Tm1 Tm 0.122 0.244 0.766
Tm2 Tm 0.878 0.756 0.234
Bi1 Bi 0.821 0.643 0.814
Bi2 Bi 0.179 0.357 0.186

---

# Y2TmBi3, relaxed, DFT GGA-PBE
# * VASP energy: -5.699 eV/atom
# * calculated formation energy: -0.8586 eV/atom
data_Y2TmBi3
_chemical_formula_sum 'Y2 Tm1 Bi3'
_space_group_name_H-M_alt 'P 1'
_space_group_IT_number 1
_space_group_name_Hall 'P 1'
_cell_length_a 4.467
_cell_length_b 6.314
_cell_length_c 7.737
_cell_angle_alpha 114.08
_cell_angle_beta 106.78
_cell_angle_gamma 90.00
loop_
_atom_site_label
_atom_site_type_symbol
_atom_site_fract_x
_atom_site_fract_y
_atom_site_fract_z
Bi1 Bi 0.500 0.000 0.500
Bi2 Bi 0.164 0.664 0.829
Bi3 Bi 0.836 0.336 0.171
Y1 Y 0.167 0.167 0.835
Y2 Y 0.833 0.833 0.165
Tm1 Tm 0.500 0.500 0.500

---

# Y4TmBi5, relaxed, DFT GGA-PBE
# * VASP energy: -5.847 eV/atom
# * calculated formation energy: -0.8741 eV/atom
data_Y4TmBi5
_chemical_formula_sum 'Y4 Tm1 Bi5'
_space_group_name_H-M_alt 'P 1'
_space_group_IT_number 1
_space_group_name_Hall 'P 1'
_cell_length_a 6.326
_cell_length_b 7.749
_cell_length_c 7.749
_cell_angle_alpha 80.41
_cell_angle_beta 65.91
_cell_angle_gamma 65.91
loop_
_atom_site_label
_atom_site_type_symbol
_atom_site_fract_x
_atom_site_fract_y
_atom_site_fract_z
Y1 Y 0.600 0.601 0.201
Y2 Y 0.201 0.201 0.399
Y3 Y 0.402 0.399 0.799
Y4 Y 0.801 0.799 0.601
Bi1 Bi 0.901 0.397 0.802
Bi2 Bi 0.501 0.000 0.000
Bi3 Bi 0.703 0.198 0.397
Bi4 Bi 0.299 0.802 0.603
Bi5 Bi 0.101 0.603 0.198
Tm1 Tm 0.001 0.000 0.000

---

# Y3TmBi2, relaxed, DFT GGA-PBE
# * VASP energy: -5.893 eV/atom
# * calculated formation energy: -0.6217 eV/atom
# * relative energy among the computed polymorphs: 0.0000 eV/atom
data_Y3TmBi2
_chemical_formula_sum 'Y3 Tm1 Bi2'
_space_group_name_H-M_alt 'P 1'
_space_group_IT_number 1
_space_group_name_Hall 'P 1'
_cell_length_a 4.549
_cell_length_b 4.549
_cell_length_c 8.602
_cell_angle_alpha 90.00
_cell_angle_beta 90.00
_cell_angle_gamma 90.00
loop_
_atom_site_label
_atom_site_type_symbol
_atom_site_fract_x
_atom_site_fract_y
_atom_site_fract_z
Bi1 Bi 0.000 0.500 0.282
Bi2 Bi 0.500 0.000 0.718
Y1 Y 0.500 0.000 0.346
Y2 Y 0.000 0.000 0.000
Y3 Y 0.000 0.500 0.654
Tm1 Tm 0.500 0.500 0.000

---

# Y4TmBi5, relaxed, DFT GGA-PBE
# * VASP energy: -5.848 eV/atom
# * calculated formation energy: -0.8752 eV/atom
data_Y4TmBi5
_chemical_formula_sum 'Y4 Tm1 Bi5'
_space_group_name_H-M_alt 'P 1'
_space_group_IT_number 1
_space_group_name_Hall 'P 1'
_cell_length_a 4.473
_cell_length_b 4.473
_cell_length_c 16.124
_cell_angle_alpha 97.97
_cell_angle_beta 97.97
_cell_angle_gamma 90.00
loop_
_atom_site_label
_atom_site_type_symbol
_atom_site_fract_x
_atom_site_fract_y
_atom_site_fract_z
Y1 Y 0.800 0.800 0.601
Y2 Y 0.400 0.400 0.800
Y3 Y 0.600 0.600 0.200
Y4 Y 0.200 0.200 0.399
Bi1 Bi 0.500 0.500 0.000
Bi2 Bi 0.700 0.700 0.400
Bi3 Bi 0.901 0.901 0.802
Bi4 Bi 0.300 0.300 0.600
Bi5 Bi 0.099 0.099 0.198
Tm1 Tm 0.000 0.000 0.000

---

# Y3Tm2Bi3, relaxed, DFT GGA-PBE
# * VASP energy: -5.548 eV/atom
# * calculated formation energy: -0.5503 eV/atom
data_Y3Tm2Bi3
_chemical_formula_sum 'Y6 Tm4 Bi6'
_space_group_name_H-M_alt 'P 1'
_space_group_IT_number 1
_space_group_name_Hall 'P 1'
_cell_length_a 4.309
_cell_length_b 7.891
_cell_length_c 15.076
_cell_angle_alpha 90.00
_cell_angle_beta 90.00
_cell_angle_gamma 105.85
loop_
_atom_site_label
_atom_site_type_symbol
_atom_site_fract_x
_atom_site_fract_y
_atom_site_fract_z
Bi1 Bi 0.604 0.208 0.750
Bi2 Bi 0.611 0.222 0.038
Bi3 Bi 0.611 0.222 0.462
Bi4 Bi 0.396 0.792 0.250
Bi5 Bi 0.389 0.778 0.538
Bi6 Bi 0.389 0.778 0.962
Y1 Y 0.608 0.217 0.250
Y2 Y 0.960 0.920 0.387
Y3 Y 0.040 0.080 0.887
Y4 Y 0.392 0.783 0.750
Y5 Y 0.960 0.920 0.113
Y6 Y 0.040 0.080 0.613
Tm1 Tm 0.242 0.483 0.113
Tm2 Tm 0.758 0.517 0.613
Tm3 Tm 0.242 0.483 0.387
Tm4 Tm 0.758 0.517 0.887

---

# Y3Tm4Bi4, relaxed, DFT GGA-PBE
# * VASP energy: -5.315 eV/atom
# * calculated formation energy: -0.5151 eV/atom
data_Y3Tm4Bi4
_chemical_formula_sum 'Y3 Tm4 Bi4'
_space_group_name_H-M_alt 'P 1'
_space_group_IT_number 1
_space_group_name_Hall 'P 1'
_cell_length_a 4.130
_cell_length_b 9.284
_cell_length_c 10.060
_cell_angle_alpha 117.48
_cell_angle_beta 101.84
_cell_angle_gamma 90.00
loop_
_atom_site_label
_atom_site_type_symbol
_atom_site_fract_x
_atom_site_fract_y
_atom_site_fract_z
Bi1 Bi 0.742 0.242 0.483
Bi2 Bi 0.500 0.204 0.000
Bi3 Bi 0.258 0.758 0.517
Bi4 Bi 0.500 0.796 0.000
Y1 Y 0.896 0.896 0.791
Y2 Y 0.000 0.500 0.000
Y3 Y 0.104 0.104 0.209
Tm1 Tm 0.667 0.855 0.335
Tm2 Tm 0.333 0.520 0.665
Tm3 Tm 0.667 0.480 0.335
Tm4 Tm 0.333 0.145 0.665